(w)
## La2TlI2 (PBE)

Data for a relaxed structure of La2TlI2.

abc: 6.3310 7.8722 9.3547
angles: 67.09 70.22 66.29
Element x y z (fractional)
I1 0.2799 0.7938 0.6464
I2 0.9625 0.2822 0.7927
I3 0.7201 0.2062 0.3536
I4 0.0375 0.7178 0.2073
Tl1 0.6227 0.8469 0.9076
Tl2 0.3773 0.1531 0.0924
La1 0.1600 0.2557 0.4243
La2 0.4906 0.3254 0.6933
La3 0.5094 0.6746 0.3067
La4 0.8400 0.7443 0.5757

Output
density of states at the Fermi level: 0.856 states/eV per atom
space-group type: C2/m, No. 12


(x)
## La2TlI2 (PBE)

Data for a relaxed structure of La2TlI2.

abc: 6.1657 6.1657 6.6252
angles: 62.27 62.27 90.00
Element x y z (fractional)
La1 0.2500 0.7500 0.5000
La2 0.7500 0.2500 0.5000
I1 0.6730 0.6730 0.6541
I2 0.3270 0.3270 0.3459
Tl1 0.0000 0.0000 0.0000

Output
density of states at the Fermi level: 0.830 states/eV per atom
space-group type: I4/mmm, No. 139


(y)
## La2TlI2 (PBE)

Data for a relaxed structure of La2TlI2.

abc: 9.0589 9.0589 4.0704
angles: 90.00 90.00 90.00
Element x y z (fractional)
I1 0.3653 0.1347 0.5000
I2 0.1347 0.6347 0.5000
I3 0.6347 0.8653 0.5000
I4 0.8653 0.3653 0.5000
La1 0.8388 0.6612 0.0000
La2 0.1612 0.3388 0.0000
La3 0.6612 0.1612 0.0000
La4 0.3388 0.8388 0.0000
Tl1 0.5000 0.5000 0.0000
Tl2 0.0000 0.0000 0.0000

Output
density of states at the Fermi level: 1.067 states/eV per atom
space-group type: P4/mbm, No. 127


(z)
## La2TlI2 (PBE)

Data for a relaxed structure of La2TlI2.

abc: 4.4519 4.4519 12.3486
angles: 79.62 79.62 60.00
Element x y z (fractional)
Tl1 0.0000 0.0000 0.0000
I1 0.7791 0.7791 0.6626
I2 0.2209 0.2209 0.3374
La1 0.6104 0.6104 0.1688
La2 0.3896 0.3896 0.8312

Output
density of states at the Fermi level: 0.470 states/eV per atom
space-group type: R-3m, No. 166


Least stable of them? (x).


(w)
## La4Tl2I (PBE)

Data for a relaxed structure of La4Tl2I.

abc: 7.1710 6.6789 10.7154
angles: 90.00 107.98 90.00
Element x y z (fractional)
La1 0.9107 0.2500 0.5472
La2 0.0893 0.7500 0.4528
La3 0.4816 0.0136 0.7307
La4 0.9487 0.2500 0.1515
La5 0.0513 0.7500 0.8485
La6 0.4816 0.4864 0.7307
La7 0.5184 0.9864 0.2693
La8 0.5184 0.5136 0.2693
Tl1 0.7061 0.7500 0.5576
Tl2 0.2939 0.2500 0.4424
Tl3 0.4011 0.2500 0.9920
Tl4 0.5989 0.7500 0.0080
I1 0.8987 0.2500 0.8436
I2 0.1013 0.7500 0.1564

Output
density of states at the Fermi level: 0.917 states/eV per atom
space-group type: P2_1/m, No. 11


(x)
## La4Tl2I (PBE)

Data for a relaxed structure of La4Tl2I.

abc: 5.9522 5.9522 8.9510
angles: 70.58 70.58 90.00
Element x y z (fractional)
Tl1 0.3931 0.3931 0.2139
Tl2 0.6069 0.6069 0.7861
La1 0.0000 0.5000 0.0000
La2 0.5000 0.0000 0.0000
La3 0.8060 0.8060 0.3879
La4 0.1940 0.1940 0.6121
I1 0.0000 0.0000 0.0000

Output
density of states at the Fermi level: 1.037 states/eV per atom
space-group type: I4/mmm, No. 139


Least stable of them? (x).


(w)
## La2TlI (PBE)

Data for a relaxed structure of La2TlI.

abc: 3.8190 3.8190 8.6802
angles: 90.00 90.00 90.00
Element x y z (fractional)
La1 0.0000 0.0000 0.7599
La2 0.0000 0.0000 0.2401
I1 0.5000 0.5000 0.5000
Tl1 0.5000 0.5000 0.0000

Output
density of states at the Fermi level: 0.906 states/eV per atom
space-group type: P4/mmm, No. 123


(x)
## La2TlI (PBE)

Data for a relaxed structure of La2TlI.

abc: 4.6197 4.6197 8.4267
angles: 74.09 74.09 60.00
Element x y z (fractional)
Tl1 0.6683 0.6683 0.9952
La1 0.0733 0.0733 0.7800
La2 0.2613 0.2613 0.2161
I1 0.4971 0.4971 0.5087

Output
density of states at the Fermi level: 1.028 states/eV per atom
space-group type: R3m, No. 160


Least stable of them? (x).


(w)
## La2TlI (PBE)

Data for a relaxed structure of La2TlI.

abc: 6.5829 6.5829 13.0443
angles: 90.00 90.00 102.99
Element x y z (fractional)
La1 0.2500 0.2500 0.0000
La2 0.2500 0.7500 0.7502
La3 0.2500 0.2500 0.5000
La4 0.7500 0.2500 0.2498
La5 0.2500 0.7500 0.2502
La6 0.7500 0.7500 0.5000
La7 0.7500 0.2500 0.7498
La8 0.7500 0.7500 0.0000
I1 0.2500 0.2500 0.2500
I2 0.7500 0.7500 0.2500
I3 0.7500 0.7500 0.7500
I4 0.2500 0.2500 0.7500
Tl1 0.7500 0.2500 0.4997
Tl2 0.2500 0.7500 0.5003
Tl3 0.7500 0.2500 0.9997
Tl4 0.2500 0.7500 0.0003

Output
density of states at the Fermi level: 0.561 states/eV per atom
space-group type: Cmme, No. 67


(x)
## La2TlI (PBE)

Data for a relaxed structure of La2TlI.

abc: 5.6645 5.6645 5.6645
angles: 60.00 60.00 60.00
Element x y z (fractional)
La1 0.7500 0.7500 0.7500
La2 0.2500 0.2500 0.2500
I1 0.0000 0.0000 0.0000
Tl1 0.5000 0.5000 0.5000

Output
density of states at the Fermi level: 0.645 states/eV per atom
space-group type: Fm-3m, No. 225


Least stable of them? (x).


(w)
## La2TlI (PBE)

Data for a relaxed structure of La2TlI.

abc: 4.7103 4.7131 7.8874
angles: 107.36 90.00 119.98
Element x y z (fractional)
La1 0.2442 0.4883 0.2323
La2 0.7558 0.5117 0.7677
Tl1 0.5000 0.0000 0.0000
I1 0.0000 0.0000 0.5000

Output
density of states at the Fermi level: 0.734 states/eV per atom
space-group type: R-3m, No. 166


(x)
## La2TlI (PBE)

Data for a relaxed structure of La2TlI.

abc: 6.6306 6.6306 9.6565
angles: 69.92 69.92 90.00
Element x y z (fractional)
La1 0.3750 0.3566 0.7500
La2 0.8750 0.8934 0.7500
La3 0.6434 0.1250 0.2500
La4 0.1066 0.6250 0.2500
Tl1 0.7500 0.2500 0.5000
Tl2 0.0000 0.0000 0.0000
I1 0.5000 0.5000 0.0000
I2 0.2500 0.7500 0.5000

Output
density of states at the Fermi level: 0.425 states/eV per atom
space-group type: I-42d, No. 122


Least stable of them? (x).


(w)
## La3TlI (PBE)

Data for a relaxed structure of La3TlI.

abc: 7.4119 9.9144 9.9144
angles: 85.78 75.87 75.87
Element x y z (fractional)
Tl1 0.2500 0.8727 0.1273
Tl2 0.7500 0.1273 0.8727
Tl3 0.7500 0.8930 0.1070
Tl4 0.2500 0.1070 0.8930
I1 0.0558 0.6894 0.5612
I2 0.9442 0.3106 0.4388
I3 0.5558 0.5612 0.6894
I4 0.4442 0.4388 0.3106
La1 0.1288 0.7560 0.8614
La2 0.3634 0.3826 0.9642
La3 0.8712 0.2440 0.1386
La4 0.8634 0.9642 0.3826
La5 0.9709 0.3998 0.7643
La6 0.1366 0.0358 0.6174
La7 0.3712 0.1386 0.2440
La8 0.0291 0.6002 0.2357
La9 0.5291 0.2357 0.6002
La10 0.4709 0.7643 0.3998
La11 0.6288 0.8614 0.7560
La12 0.6366 0.6174 0.0358

Output
density of states at the Fermi level: 1.145 states/eV per atom
space-group type: C2/c, No. 15


(x)
## La3TlI (PBE)

Data for a relaxed structure of La3TlI.

abc: 5.9302 5.9302 5.9302
angles: 90.00 90.00 90.00
Element x y z (fractional)
La1 0.0000 0.5000 0.0000
La2 0.5000 0.0000 0.0000
La3 0.0000 0.0000 0.5000
Tl1 0.5000 0.5000 0.5000
I1 0.0000 0.0000 0.0000

Output
density of states at the Fermi level: 1.376 states/eV per atom
space-group type: Pm-3m, No. 221


Least stable of them? (x).